TaTe2NF: optimized geometry, PBE.

Total DFT energy (no corrections): -22.597 eV for the cell shown
Energy above the most stable polymorph in this dataset: 1.185 eV per atom
Formation energy (no corrections): 1.1472 eV/atom

abc: 4.8546 4.8546 3.7967
angles: 90.00 90.00 90.00
With the nearest neighbours (Å) after each atom.
Element x y z (fractional)
Ta (0.0000, 0.0000, 0.0000)  8 Te 3.08, 4 N 3.43
Te (0.0000, 0.5000, 0.5000)  2 F 2.43
Te (0.5000, 0.0000, 0.5000)  2 F 2.43
N (0.5000, 0.5000, 0.0000)  2 F 1.90
F (0.5000, 0.5000, 0.5000)  2 N 1.90